DFT (PBE) results for BeC after structural relaxation.

Cell lengths 2.2746, 2.2746, 5.5697 Å; angles 90.00, 90.00, 90.00 degrees
Closest atoms and distances in Å follow each position.
Sites, in units of the cell vectors:
Be: 0.0000 0.0000 0.0000  5 C 1.76-1.91
Be: 0.5000 0.5000 0.5000  5 C 1.76-1.91
C: 0.0000 0.0000 0.6843  5 Be 1.76-1.91
C: 0.5000 0.5000 0.1843  5 Be 1.76-1.91

The value obtained for the energy is -5.488 eV per atom. The crystal system is tetragonal. The calculation puts the total magnetic moment at 0.00 Bohr magnetons per cell. Its energy of formation is 0.987 eV/atom.

***

DFT (PBE) results for Nd2Er2Tm15 after structural relaxation.

Cell lengths 8.6264, 8.6264, 8.6264 Å; angles 79.85, 79.85, 79.85 degrees
Closest atoms and distances in Å follow each position.
Sites, in units of the cell vectors:
Nd: 0.1167 0.1167 0.1167  6 Tm 3.31-3.58, 1 Er 3.68
Nd: 0.8833 0.8833 0.8833  6 Tm 3.31-3.58, 1 Er 3.68
Er: 0.3287 0.3287 0.3287  1 Nd 3.68, 12 Tm 3.86-4.06
Er: 0.6713 0.6713 0.6713  1 Nd 3.68, 12 Tm 3.86-4.06
Tm: 0.0000 0.0000 0.5000  8 Tm 3.30-3.36, 2 Nd 3.31
Tm: 0.0000 0.3051 0.6949  6 Tm 3.24-3.38
Tm: 0.0000 0.5000 0.0000  8 Tm 3.30-3.36, 2 Nd 3.31
Tm: 0.0000 0.6949 0.3051  6 Tm 3.24-3.38
Tm: 0.1522 0.6327 0.6327  6 Tm 3.22-3.30, 1 Nd 3.58
Tm: 0.3051 0.0000 0.6949  6 Tm 3.24-3.38
Tm: 0.3051 0.6949 0.0000  6 Tm 3.24-3.38
Tm: 0.3673 0.3673 0.8478  6 Tm 3.22-3.30, 1 Nd 3.58
Tm: 0.3673 0.8478 0.3673  6 Tm 3.22-3.30, 1 Nd 3.58
Tm: 0.5000 0.0000 0.0000  8 Tm 3.30-3.36, 2 Nd 3.31
Tm: 0.6327 0.1522 0.6327  6 Tm 3.22-3.30, 1 Nd 3.58
Tm: 0.6327 0.6327 0.1522  6 Tm 3.22-3.30, 1 Nd 3.58
Tm: 0.6949 0.0000 0.3051  6 Tm 3.24-3.38
Tm: 0.6949 0.3051 0.0000  6 Tm 3.24-3.38
Tm: 0.8478 0.3673 0.3673  6 Tm 3.22-3.30, 1 Nd 3.58

The value obtained for the energy is -4.215 eV per atom. The crystal system is trigonal. The calculation puts the total magnetic moment at 0.00 Bohr magnetons per cell. Its energy of formation is 0.297 eV/atom.

***

DFT (PBE) results for Na2NbSiHg after structural relaxation.

Cell lengths 5.8236, 5.8236, 5.3980 Å; angles 90.00, 90.00, 90.00 degrees
Closest atoms and distances in Å follow each position.
Sites, in units of the cell vectors:
Na: 0.0000 0.5000 0.0000  2 Nb 2.91
Na: 0.5000 0.0000 0.0000  2 Nb 2.91
Nb: 0.0000 0.0000 0.0000  2 Hg 2.70, 4 Na 2.91
Si: 0.5000 0.5000 0.5000  8 Na 3.97, 4 Hg 4.12
Hg: 0.0000 0.0000 0.5000  2 Nb 2.70

The value obtained for the energy is -2.215 eV per atom. The crystal system is tetragonal. The calculation puts the total magnetic moment at 2.56 Bohr magnetons per cell. The formation energy from raw total energies is 7.4 eV/f.u.

***

DFT (PBE) results for La3ZrCr after structural relaxation.

Cell lengths 5.6380, 5.6380, 5.6380 Å; angles 90.00, 90.00, 90.00 degrees
Closest atoms and distances in Å follow each position.
Sites, in units of the cell vectors:
La: 0.0000 0.0000 0.5000  2 Zr 2.82
La: 0.0000 0.5000 0.0000  2 Zr 2.82
La: 0.5000 0.0000 0.0000  2 Zr 2.82
Zr: 0.0000 0.0000 0.0000  6 La 2.82
Cr: 0.5000 0.5000 0.5000  12 La 3.99

The value obtained for the energy is -5.249 eV per atom. The crystal system is cubic. The calculation puts the total magnetic moment at 0.37 Bohr magnetons per cell. Its energy of formation is 1.341 eV/atom.

***

DFT (PBE) results for LaBeIr2 after structural relaxation.

Cell lengths 4.2396, 4.2396, 3.8357 Å; angles 90.00, 90.00, 90.00 degrees
Closest atoms and distances in Å follow each position.
Sites, in units of the cell vectors:
La: 0.0000 0.0000 0.0000  8 Ir 2.86, 4 Be 3.00
Be: 0.5000 0.5000 0.0000  8 Ir 2.86, 4 La 3.00
Ir: 0.0000 0.5000 0.5000  4 La 2.86, 4 Be 2.86, 4 Ir 3.00
Ir: 0.5000 0.0000 0.5000  4 La 2.86, 4 Be 2.86, 4 Ir 3.00

The value obtained for the energy is -6.693 eV per atom. The crystal system is tetragonal. The calculation puts the total magnetic moment at 0.00 Bohr magnetons per cell. Its energy of formation is -0.099 eV/atom.

***

DFT (PBE) results for V2SnRhC after structural relaxation.

Cell lengths 4.7921, 4.7921, 3.7864 Å; angles 90.00, 90.00, 90.00 degrees
Closest atoms and distances in Å follow each position.
Sites, in units of the cell vectors:
V: 0.0000 0.5000 0.0000  2 Rh 2.40
V: 0.5000 0.0000 0.0000  2 Rh 2.40
Sn: 0.0000 0.0000 0.5000  8 V 3.05, 4 C 3.39
Rh: 0.5000 0.5000 0.0000  2 C 1.89
C: 0.5000 0.5000 0.5000  2 Rh 1.89

The value obtained for the energy is -6.672 eV per atom. The crystal system is tetragonal. The calculation puts the total magnetic moment at 0.00 Bohr magnetons per cell. Its energy of formation is 1.091 eV/atom.

***

DFT (PBE) results for DySbAu2 after structural relaxation.

Cell lengths 3.8126, 3.8126, 6.2492 Å; angles 90.00, 90.00, 90.00 degrees
Closest atoms and distances in Å follow each position.
Sites, in units of the cell vectors:
Dy: 0.0000 0.0000 0.0000  8 Au 3.08, 2 Sb 3.12
Sb: 0.0000 0.0000 0.5000  2 Dy 3.12, 8 Au 3.15
Au: 0.5000 0.5000 0.2394  2 Au 2.99-3.26, 4 Dy 3.08, 4 Sb 3.15
Au: 0.5000 0.5000 0.7606  2 Au 2.99-3.26, 4 Dy 3.08, 4 Sb 3.15

The value obtained for the energy is -4.392 eV per atom. The crystal system is tetragonal. The calculation puts the total magnetic moment at 0.00 Bohr magnetons per cell. The formation energy from raw total energies is -2.3 eV/f.u.

***

DFT (PBE) results for CaB4C2 after structural relaxation.

Cell lengths 6.1643, 6.1643, 4.3112 Å; angles 90.00, 90.00, 90.00 degrees
Closest atoms and distances in Å follow each position.
Sites, in units of the cell vectors:
Ca: 0.0000 0.0000 0.0000  6 C 2.59-2.79, 4 B 2.79
Ca: 0.5000 0.5000 0.5000  6 C 2.59-2.79, 4 B 2.79
B: 0.0616 0.3855 0.5000  1 C 1.42
B: 0.1145 0.5616 0.0000  1 C 1.42
B: 0.3855 0.0616 0.5000  1 C 1.42
B: 0.4384 0.8855 0.0000  1 C 1.42
B: 0.5616 0.1145 0.0000  1 C 1.42
B: 0.6145 0.9384 0.5000  1 C 1.42
B: 0.8855 0.4384 0.0000  1 C 1.42
B: 0.9384 0.6145 0.5000  1 C 1.42
C: 0.2027 0.2027 0.5000  2 B 1.42
C: 0.2973 0.7027 0.0000  2 B 1.42
C: 0.7027 0.2973 0.0000  2 B 1.42
C: 0.7973 0.7973 0.5000  2 B 1.42

The value obtained for the energy is -6.447 eV per atom. The crystal system is tetragonal. The calculation puts the total magnetic moment at 0.00 Bohr magnetons per cell. Its energy of formation is 0.290 eV/atom.

***

DFT (PBE) results for Ca2UGe3Ir4 after structural relaxation.

Cell lengths 4.2535, 4.2535, 10.9470 Å; angles 90.00, 90.00, 90.00 degrees
Closest atoms and distances in Å follow each position.
Sites, in units of the cell vectors:
Ca: 0.0000 0.5000 0.2257  4 Ge 3.21, 8 Ir 3.26-3.31
Ca: 0.5000 0.0000 0.7743  4 Ge 3.21, 8 Ir 3.26-3.31
U: 0.0000 0.0000 0.5000  4 Ir 2.68
Ge: 0.0000 0.5000 0.8777  5 Ir 2.50-2.51
Ge: 0.5000 0.0000 0.1223  5 Ir 2.50-2.51
Ge: 0.5000 0.5000 0.5000  4 Ir 2.68
Ir: 0.0000 0.0000 0.0000  4 Ge 2.51
Ir: 0.0000 0.5000 0.6492  3 Ge 2.50-2.68, 2 U 2.68
Ir: 0.5000 0.0000 0.3508  3 Ge 2.50-2.68, 2 U 2.68
Ir: 0.5000 0.5000 0.0000  4 Ge 2.51

The value obtained for the energy is -7.027 eV per atom. The crystal system is tetragonal. The calculation puts the total magnetic moment at 1.82 Bohr magnetons per cell. Its energy of formation is -0.568 eV/atom.

***

DFT (PBE) results for CsAlAu3 after structural relaxation.

Cell lengths 5.1649, 5.1649, 5.1649 Å; angles 90.00, 90.00, 90.00 degrees
Closest atoms and distances in Å follow each position.
Sites, in units of the cell vectors:
Cs: 0.0000 0.0000 0.0000  12 Au 3.65
Al: 0.5000 0.5000 0.5000  6 Au 2.58
Au: 0.0000 0.5000 0.5000  2 Al 2.58
Au: 0.5000 0.0000 0.5000  2 Al 2.58
Au: 0.5000 0.5000 0.0000  2 Al 2.58

The value obtained for the energy is -3.070 eV per atom. The crystal system is cubic. The calculation puts the total magnetic moment at 0.00 Bohr magnetons per cell. Its energy of formation is -0.184 eV/atom.

***

DFT (PBE) results for CaCe2DyN4 after structural relaxation.

Cell lengths 6.0835, 3.5509, 6.1539 Å; angles 90.00, 109.52, 90.00 degrees
Closest atoms and distances in Å follow each position.
Sites, in units of the cell vectors:
Ca: 0.0000 0.0000 0.0000  6 N 2.55-2.59
Ce: 0.5000 0.0000 0.5000  6 N 2.42-2.44
Ce: 0.5000 0.5000 0.0000  6 N 2.49-2.51
Dy: 0.0000 0.5000 0.5000  6 N 2.50-2.52
N: 0.2549 0.0000 0.7436  3 Ce 2.44-2.51, 2 Dy 2.50, 1 Ca 2.55
N: 0.2679 0.5000 0.2646  3 Ce 2.42-2.49, 1 Dy 2.52, 2 Ca 2.59
N: 0.7321 0.5000 0.7354  3 Ce 2.42-2.49, 1 Dy 2.52, 2 Ca 2.59
N: 0.7451 0.0000 0.2564  3 Ce 2.44-2.51, 2 Dy 2.50, 1 Ca 2.55

The value obtained for the energy is -7.910 eV per atom. The crystal system is monoclinic. The calculation puts the total magnetic moment at 0.63 Bohr magnetons per cell. The formation energy from raw total energies is -11.5 eV/f.u.

***

DFT (PBE) results for AlTlBAu2 after structural relaxation.

Cell lengths 5.2827, 5.2827, 5.2541 Å; angles 90.00, 90.00, 90.00 degrees
Closest atoms and distances in Å follow each position.
Sites, in units of the cell vectors:
Al: 0.0000 0.0000 0.0000  2 Tl 2.63
Tl: 0.0000 0.0000 0.5000  2 Al 2.63, 4 Au 2.64
B: 0.5000 0.5000 0.0000  8 Au 3.73, 4 Al 3.74
Au: 0.0000 0.5000 0.5000  2 Tl 2.64
Au: 0.5000 0.0000 0.5000  2 Tl 2.64

The value obtained for the energy is -2.237 eV per atom. The crystal system is tetragonal. The calculation puts the total magnetic moment at 0.00 Bohr magnetons per cell. Its energy of formation is 1.631 eV/atom.